(1)
DFT (PBEsol) results for Al2TcCl after structural relaxation.

Unit cell a=9.7036 b=2.8295 c=4.5094 alpha=90.00 beta=95.12 gamma=90.00
Sites, in units of the cell vectors:
Al1 0.2206 0.0000 0.2368
Al2 0.2794 0.5000 0.7632
Al3 0.7206 0.5000 0.2368
Al4 0.7794 0.0000 0.7632
Tc1 0.0000 0.5000 0.0000
Tc2 0.5000 0.0000 0.0000
Cl1 0.0000 0.0000 0.5000
Cl2 0.5000 0.5000 0.5000

Output
Offset from the most stable computed form in meV/atom: 636
Raw formation energy in eV/atom: 0.22
Space group: C2/m
Magnetic moment in μB/f.u.: 0.00
V in Å³/atom: 15.41
E_tot in eV per atom: -5.15


(2)
DFT (PBEsol) results for Pr2ZnAg after structural relaxation.

Unit cell a=7.3596 b=7.3596 c=7.3596 alpha=90.00 beta=90.00 gamma=90.00
Sites, in units of the cell vectors:
Pr1 0.2500 0.2500 0.2500
Pr2 0.2500 0.2500 0.7500
Pr3 0.2500 0.7500 0.2500
Pr4 0.2500 0.7500 0.7500
Pr5 0.7500 0.2500 0.2500
Pr6 0.7500 0.2500 0.7500
Pr7 0.7500 0.7500 0.2500
Pr8 0.7500 0.7500 0.7500
Zn1 0.0000 0.0000 0.0000
Zn2 0.0000 0.5000 0.5000
Zn3 0.5000 0.0000 0.5000
Zn4 0.5000 0.5000 0.0000
Ag1 0.0000 0.0000 0.5000
Ag2 0.0000 0.5000 0.0000
Ag3 0.5000 0.0000 0.0000
Ag4 0.5000 0.5000 0.5000

Output
Space group: Fm-3m
Magnetic moment in μB/f.u.: 0.07
V in Å³/atom: 24.91
E_tot in eV per atom: -4.06
Formation energy in meV/atom: -244


- magnetic moment of number 2 (Pr2ZnAg)?
  0.07 μB/f.u.


- Which of these has the highest magnetic moment?
  Pr2ZnAg


Repeat the first record exactly.
DFT (PBEsol) results for Al2TcCl after structural relaxation.

Unit cell a=9.7036 b=2.8295 c=4.5094 alpha=90.00 beta=95.12 gamma=90.00
Sites, in units of the cell vectors:
Al1 0.2206 0.0000 0.2368
Al2 0.2794 0.5000 0.7632
Al3 0.7206 0.5000 0.2368
Al4 0.7794 0.0000 0.7632
Tc1 0.0000 0.5000 0.0000
Tc2 0.5000 0.0000 0.0000
Cl1 0.0000 0.0000 0.5000
Cl2 0.5000 0.5000 0.5000

Output
Offset from the most stable computed form in meV/atom: 636
Raw formation energy in eV/atom: 0.22
Space group: C2/m
Magnetic moment in μB/f.u.: 0.00
V in Å³/atom: 15.41
E_tot in eV per atom: -5.15